Below is crystalline Be2GeS at its relaxed geometry, with properties calculated at the PBE level.

```
Be2GeS
1.0
5.9570 0.0000 0.0000
0.0000 5.9570 0.0000
0.0000 0.0000 5.9570
Be Ge S
8 4 4
Cartesian
1.4893 1.4893 1.4893
1.4893 1.4893 4.4678
1.4893 4.4678 1.4893
1.4893 4.4678 4.4678
4.4678 1.4893 1.4893
4.4678 1.4893 4.4678
4.4678 4.4678 1.4893
4.4678 4.4678 4.4678
0.0000 0.0000 0.0000
0.0000 2.9785 2.9785
2.9785 0.0000 2.9785
2.9785 2.9785 0.0000
0.0000 0.0000 2.9785
0.0000 2.9785 0.0000
2.9785 0.0000 0.0000
2.9785 2.9785 2.9785
```

Values from the calculation:
- formation energy (no corrections) (kJ/mol of atoms) = 66

Below is crystalline CeLuPa at its relaxed geometry, with properties calculated at the PBE level.

```
CeLuPa
1.0
5.3169 0.0000 0.0000
-2.6585 4.6046 0.0000
0.0000 0.0000 3.3046
Ce Lu Pa
1 1 1
Cartesian
0.0000 0.0000 0.0000
0.0000 3.0697 1.6523
2.6585 1.5349 0.0000
```

Values from the calculation:
- E_form (kJ/mol of formula units) = 50

no.,D(E_F) (states/eV per atom)
1,0.5037
2,2.6299